(1)
The following is a PBE calculation of a relaxed structure of Pr2AgO4, from OQMD via LeMat-Bulk.

The structure belongs to space group Fd-3m (No. 227, origin choice 2); the cell edges are 10.0006, 10.0006 and 10.0006 Å and the angles 90.00°, 90.00° and 90.00°. The inequivalent atoms are Pr at (0.0000, 0.0000, 0.0000), Ag at (0.1250, 0.1250, 0.6250) and O at (0.0112, 0.0112, 0.2388).

The theoretical density comes out at 6026 kg/m3. The total energy is -6.709 eV per atom.

***

(2)
The following is a PBE calculation of a relaxed structure of Pr2Ag2O5, from OQMD via LeMat-Bulk.

The structure belongs to space group P4/mmm (No. 123); the cell edges are 4.1584, 4.1584 and 7.1725 Å and the angles 90.00°, 90.00° and 90.00°. The inequivalent atoms are Pr at (0.0000, 0.0000, 0.0000), Pr at (0.0000, 0.0000, 0.5000), Ag at (0.5000, 0.5000, 0.1951), O at (0.0000, 0.5000, 0.2186) and O at (0.5000, 0.5000, 0.5000).

The theoretical density comes out at 7732 kg/m3. For the relative energy among the computed polymorphs, the calculation gives 0 meV/atom.

***

(3)
The following is a PBE calculation of a relaxed structure of Pr4AgO2, from OQMD via LeMat-Bulk.

The structure belongs to space group I4/mmm (No. 139); the cell edges are 7.0153, 7.0153 and 6.0680 Å and the angles 90.00°, 90.00° and 90.00°. The inequivalent atoms are Pr at (0.2237, 0.2237, 0.0000), Ag at (0.0000, 0.0000, 0.5000) and O at (0.0000, 0.5000, 0.2500).

The theoretical density comes out at 7824 kg/m3. The total energy is -5.190 eV per atom.

***

(4)
The following is a PBE calculation of a relaxed structure of RbPr2AgO4, from OQMD via LeMat-Bulk.

The structure belongs to space group P-6m2 (No. 187); the cell edges are 3.7161, 3.7161 and 13.6152 Å and the angles 90.00°, 90.00° and 120.00°. The inequivalent atoms are Rb at (0.0000, 0.0000, 0.0000), Pr at (0.3333, 0.6667, 0.2716), Ag at (0.6667, 0.3333, 0.5000), O at (0.0000, 0.0000, 0.1874) and O at (0.6667, 0.3333, 0.3497).

The theoretical density comes out at 5498 kg/m3. The total energy is -6.357 eV per atom.

***

(5)
The following is a PBE calculation of a relaxed structure of PrScAg2O4, from OQMD via LeMat-Bulk.

The structure belongs to space group P-3m1 (No. 164); the cell edges are 3.4656, 3.4656 and 12.5380 Å and the angles 90.00°, 90.00° and 120.00°. The inequivalent atoms are Pr at (0.0000, 0.0000, 0.0000), Sc at (0.0000, 0.0000, 0.5000), Ag at (0.3333, 0.6667, 0.7381), O at (0.3333, 0.6667, 0.5731) and O at (0.3333, 0.6667, 0.9030).

The theoretical density comes out at 5928 kg/m3. The total energy is -6.657 eV per atom.

***

(6)
The following is a PBE calculation of a relaxed structure of PrAgSeO, from OQMD via LeMat-Bulk.

The structure belongs to space group Pmc2_1 (No. 26); the cell edges are 4.2351, 5.9846 and 6.6201 Å and the angles 90.00°, 90.00° and 90.00°. The inequivalent atoms are Pr at (0.0000, 0.2488, 0.0000), Ag at (0.5000, 0.3287, 0.6207), Se at (0.5000, 0.0899, 0.2904) and O at (0.0000, 0.4484, 0.7053).

The theoretical density comes out at 6804 kg/m3. The total energy is -5.526 eV per atom.

***

(7)
The following is a PBE calculation of a relaxed structure of PrAgSeO, from OQMD via LeMat-Bulk.

The structure belongs to space group Pba2 (No. 32); the cell edges are 5.7849, 5.7865 and 9.4520 Å and the angles 90.00°, 90.00° and 90.00°. The inequivalent atoms are Pr at (0.0000, 0.0000, 0.0000), Pr at (0.0000, 0.5000, 0.2537), Ag at (0.2331, 0.2243, 0.6287), Se at (0.0000, 0.0000, 0.4240), Se at (0.0000, 0.5000, 0.8271) and O at (0.2494, 0.2495, 0.1262).

The theoretical density comes out at 7216 kg/m3. The total energy is -5.916 eV per atom.

***

(8)
The following is a PBE calculation of a relaxed structure of PrAgSeO, from OQMD via LeMat-Bulk.

The structure belongs to space group Pcca (No. 54); the cell edges are 5.7873, 9.4497 and 5.7886 Å and the angles 90.00°, 90.00° and 90.00°. The inequivalent atoms are Pr at (0.0000, 0.1268, 0.2500), Ag at (0.2500, 0.5000, 0.0263), Se at (0.0000, 0.2987, 0.7500) and O at (0.2500, 0.0000, 0.9999).

The theoretical density comes out at 7212 kg/m3. The total energy is -5.916 eV per atom.